Record 1
Density functional theory data (GGA-PBE) for a relaxed structure of Ba3In9Pb2.

Output
Calculated formation energy in eV/atom: -0.34
Size of the total moment in μB/cell: 0.0
D(E_F) in states/eV/cell: 12.06

Cell and atoms, written as CIF:
```
data_Ba3In9Pb2
_cell_length_a 5.060
_cell_length_b 11.481
_cell_length_c 15.339
_cell_angle_alpha 90.00
_cell_angle_beta 90.00
_cell_angle_gamma 90.00
_space_group_name_H-M_alt 'I m m m'
_space_group_IT_number 71
_space_group_name_Hall '-I 2 2'
loop_
_atom_site_label
_atom_site_type_symbol
_atom_site_fract_x
_atom_site_fract_y
_atom_site_fract_z
Ba1 Ba 0.000 0.000 0.000
Ba2 Ba 0.000 0.000 0.315
In1 In 0.000 0.272 0.149
In2 In 0.000 0.373 0.333
In3 In 0.000 0.500 0.000
Pb1 Pb 0.000 0.213 0.500
```

=====

Record 2
Density functional theory data (GGA-PBE) for a relaxed structure of Pu2PaTa.

Output
Calculated formation energy in eV/atom: 0.28
Size of the total moment in μB/cell: 9.7
D(E_F) in states/eV/cell: 10.93

Cell and atoms, written as CIF:
```
data_Pu2PaTa
_cell_length_a 3.389
_cell_length_b 3.389
_cell_length_c 7.630
_cell_angle_alpha 90.00
_cell_angle_beta 90.00
_cell_angle_gamma 90.00
_space_group_name_H-M_alt 'P 4/m m m'
_space_group_IT_number 123
_space_group_name_Hall '-P 4 2'
loop_
_atom_site_label
_atom_site_type_symbol
_atom_site_fract_x
_atom_site_fract_y
_atom_site_fract_z
Pu1 Pu 0.000 0.000 0.241
Pa1 Pa 0.500 0.500 0.500
Ta1 Ta 0.500 0.500 0.000
```

=====

Record 3
Density functional theory data (GGA-PBE) for a relaxed structure of ZrIrPb2.

Output
Calculated formation energy in eV/atom: -0.06
Size of the total moment in μB/cell: 0.0
D(E_F) in states/eV/cell: 6.18

Cell and atoms, written as CIF:
```
data_ZrIrPb2
_cell_length_a 3.6355
_cell_length_b 3.6355
_cell_length_c 26.8797
_cell_angle_alpha 90.00
_cell_angle_beta 90.00
_cell_angle_gamma 120.00
_space_group_name_H-M_alt 'R 3 m'
_space_group_IT_number 160
_space_group_name_Hall 'R 3 -2"'
loop_
_atom_site_label
_atom_site_type_symbol
_atom_site_fract_x
_atom_site_fract_y
_atom_site_fract_z
Zr1 Zr 0.0000 0.0000 0.0000
Ir1 Ir 0.0000 0.0000 0.2766
Pb1 Pb 0.0000 0.0000 0.5308
Pb2 Pb 0.0000 0.0000 0.7638
```

=====

Record 4
Density functional theory data (GGA-PBE) for a relaxed structure of MgNiW.

Output
Calculated formation energy in eV/atom: 1.17
Size of the total moment in μB/cell: 0.0
D(E_F) in states/eV/cell: 1.20

Cell and atoms, written as CIF:
```
data_MgNiW
_cell_length_a 5.942
_cell_length_b 5.942
_cell_length_c 5.942
_cell_angle_alpha 90.00
_cell_angle_beta 90.00
_cell_angle_gamma 90.00
_space_group_name_H-M_alt 'F -4 3 m'
_space_group_IT_number 216
_space_group_name_Hall 'F -4 2 3'
loop_
_atom_site_label
_atom_site_type_symbol
_atom_site_fract_x
_atom_site_fract_y
_atom_site_fract_z
Mg1 Mg 0.000 0.000 0.000
Ni1 Ni 0.000 0.000 0.500
W1 W 0.250 0.250 0.750
```

=====

- Which formula does entry 4 have?
  MgNiW